[1]
TbZn6Au2 | PBE | relaxed

Results
As for the space group: P4/mmm. The formation energy is -2.662 eV/f.u.

Cell: 3.898 3.898 10.496 Å, 90.00 90.00 90.00°
Sites, in units of the cell vectors:
Tb1 0.000 0.000 0.000
Zn1 0.000 0.000 0.500
Zn2 0.000 0.500 0.311
Zn3 0.000 0.500 0.689
Zn4 0.500 0.000 0.311
Zn5 0.500 0.000 0.689
Zn6 0.500 0.500 0.500
Au1 0.500 0.500 0.134
Au2 0.500 0.500 0.866

[2]
LaNi3Rh | PBE | relaxed

Results
As for the space group: Pm-3m. For the offset from the most stable computed form, the calculation gives 0 meV/atom. The formation energy is 1.467 eV/f.u.

Cell: 4.601 4.601 4.601 Å, 90.00 90.00 90.00°
Sites, in units of the cell vectors:
La1 0.000 0.000 0.000
Ni1 0.000 0.500 0.500
Ni2 0.500 0.000 0.500
Ni3 0.500 0.500 0.000
Rh1 0.500 0.500 0.500

[3]
Er5ScZn6 | PBE | relaxed

Results
As for the space group: Cmmm. The formation energy is -4.169 eV/f.u.

Cell: 7.848 7.848 7.034 Å, 90.00 90.00 143.28°
Sites, in units of the cell vectors:
Er1 0.000 0.000 0.000
Er2 0.331 0.669 0.000
Er3 0.335 0.665 0.500
Er4 0.665 0.335 0.500
Er5 0.669 0.331 0.000
Sc1 0.000 0.000 0.500
Zn1 0.163 0.837 0.256
Zn2 0.163 0.837 0.744
Zn3 0.500 0.500 0.258
Zn4 0.500 0.500 0.742
Zn5 0.837 0.163 0.256
Zn6 0.837 0.163 0.744

[4]
La5PdI5 | PBE | relaxed

Results
The calculation puts the total energy at -49.56 eV/cell. As for the space group: C2/m.

Cell: 7.662 7.662 9.345 Å, 108.10 108.10 49.28°
Sites, in units of the cell vectors:
La1 0.000 0.000 0.000
La2 0.324 0.324 0.136
La3 0.356 0.356 0.721
La4 0.644 0.644 0.279
La5 0.676 0.676 0.864
Pd1 0.500 0.500 0.000
I1 0.144 0.144 0.792
I2 0.174 0.174 0.359
I3 0.500 0.500 0.500
I4 0.826 0.826 0.641
I5 0.856 0.856 0.208

[5]
SrCe2SmP4 | PBE | relaxed

Results
As for the space group: P2/m. The formation energy is -11.204 eV/f.u.

Cell: 7.190 4.157 7.232 Å, 90.00 109.43 90.00°
Sites, in units of the cell vectors:
Sr1 0.000 0.000 0.000
Ce1 0.500 0.000 0.500
Ce2 0.500 0.500 0.000
Sm1 0.000 0.500 0.500
P1 0.260 0.000 0.745
P2 0.270 0.500 0.266
P3 0.730 0.500 0.734
P4 0.740 0.000 0.255

[6]
BaTaBr2 | PBE | relaxed

Results
As for the space group: Immm. For the offset from the most stable computed form, the calculation gives 0 meV/atom.

Cell: 6.646 6.646 6.646 Å, 149.47 125.62 63.66°
Sites, in units of the cell vectors:
Ba1 0.000 0.000 0.000
Ta1 0.500 0.500 0.000
Br1 0.323 0.823 0.500
Br2 0.677 0.177 0.500